Entry 1:
First-principles (GGA-PBEsol) data for ZnP2H4O4 after structural relaxation, as listed in the Alexandria database.

Summary:
- E_tot: -118.494 eV/cell

Cell lengths 6.432, 5.367, 7.241 Å; angles 90.00, 90.00, 90.00 degrees
Sites, in units of the cell vectors:
Zn1 0.000 0.000 0.000
Zn2 0.500 0.000 0.000
P1 0.250 0.000 0.381
P2 0.250 0.500 0.854
P3 0.750 0.000 0.619
P4 0.750 0.500 0.146
H1 0.073 0.500 0.737
H2 0.250 0.209 0.502
H3 0.250 0.791 0.502
H4 0.427 0.500 0.737
H5 0.573 0.500 0.263
H6 0.750 0.209 0.498
H7 0.750 0.791 0.498
H8 0.927 0.500 0.263
O1 0.046 0.000 0.274
O2 0.250 0.259 0.968
O3 0.250 0.741 0.968
O4 0.454 0.000 0.274
O5 0.546 0.000 0.726
O6 0.750 0.259 0.032
O7 0.750 0.741 0.032
O8 0.954 0.000 0.726


Entry 2:
First-principles (GGA-PBEsol) data for Tc2MoP after structural relaxation, as listed in the Alexandria database.

Summary:
- Formation enthalpy at 0 K: -6 meV/atom
- E_tot: -80.229 eV/cell

Cell lengths 8.389, 2.813, 4.706 Å; angles 90.00, 93.52, 90.00 degrees
Sites, in units of the cell vectors:
Tc1 0.249 0.000 0.263
Tc2 0.251 0.500 0.737
Tc3 0.749 0.500 0.263
Tc4 0.751 0.000 0.737
Mo1 0.000 0.500 0.000
Mo2 0.500 0.000 0.000
P1 0.000 0.000 0.500
P2 0.500 0.500 0.500


Entry 3:
First-principles (GGA-PBEsol) data for Sr8Si2PtO14 after structural relaxation, as listed in the Alexandria database.

Summary:
- E_tot: -174.925 eV/cell

Cell lengths 9.844, 9.844, 7.161 Å; angles 109.40, 109.40, 33.63 degrees
Sites, in units of the cell vectors:
Sr1 0.023 0.023 0.300
Sr2 0.190 0.180 0.791
Sr3 0.333 0.333 0.505
Sr4 0.428 0.388 0.042
Sr5 0.612 0.572 0.958
Sr6 0.667 0.667 0.495
Sr7 0.820 0.810 0.209
Sr8 0.977 0.977 0.700
Si1 0.196 0.148 0.206
Si2 0.852 0.804 0.794
Pt1 0.500 0.500 0.500
O1 0.065 0.110 0.039
O2 0.087 0.380 0.155
O3 0.103 0.504 0.800
O4 0.142 0.207 0.432
O5 0.181 0.660 0.360
O6 0.340 0.819 0.640
O7 0.458 0.466 0.741
O8 0.496 0.897 0.200
O9 0.534 0.542 0.259
O10 0.620 0.913 0.845
O11 0.661 0.180 0.359
O12 0.793 0.858 0.568
O13 0.820 0.339 0.641
O14 0.890 0.935 0.961


Entry 4:
First-principles (GGA-PBEsol) data for CrReRh2 after structural relaxation, as listed in the Alexandria database.

Summary:
- Excess energy over the best structure of this formula in the dataset: 87 meV/atom
- Formation enthalpy at 0 K: -56 meV/atom
- E_tot: -80.150 eV/cell

Cell lengths 5.263, 7.602, 2.645 Å; angles 90.00, 90.00, 90.00 degrees
Sites, in units of the cell vectors:
Cr1 0.000 0.000 0.000
Cr2 0.500 0.500 0.000
Re1 0.000 0.500 0.000
Re2 0.500 0.000 0.000
Rh1 0.250 0.250 0.500
Rh2 0.250 0.750 0.500
Rh3 0.750 0.250 0.500
Rh4 0.750 0.750 0.500


Entry 5:
First-principles (GGA-PBEsol) data for LiHg5 after structural relaxation, as listed in the Alexandria database.

Summary:
- Excess energy over the best structure of this formula in the dataset: 0 meV/atom
- Formation enthalpy at 0 K: -157 meV/atom
- E_tot: -11.486 eV/cell

Cell lengths 4.449, 13.443, 4.338 Å; angles 90.00, 90.00, 90.00 degrees
Sites, in units of the cell vectors:
Li1 0.000 0.000 0.000
Li2 0.500 0.500 0.000
Hg1 0.000 0.160 0.500
Hg2 0.000 0.337 0.000
Hg3 0.000 0.500 0.500
Hg4 0.000 0.663 0.000
Hg5 0.000 0.840 0.500
Hg6 0.500 0.000 0.500
Hg7 0.500 0.163 0.000
Hg8 0.500 0.340 0.500
Hg9 0.500 0.660 0.500
Hg10 0.500 0.837 0.000


Entry 6:
First-principles (GGA-PBEsol) data for MnRh2Pb after structural relaxation, as listed in the Alexandria database.

Summary:
- Formation enthalpy at 0 K: 158 meV/atom
- E_tot: -58.807 eV/cell

Cell lengths 8.576, 3.061, 4.932 Å; angles 90.00, 102.70, 90.00 degrees
Sites, in units of the cell vectors:
Mn1 0.000 0.000 0.000
Mn2 0.500 0.500 0.000
Rh1 0.243 0.500 0.223
Rh2 0.257 0.000 0.777
Rh3 0.743 0.000 0.223
Rh4 0.757 0.500 0.777
Pb1 0.000 0.500 0.500
Pb2 0.500 0.000 0.500